(one)
LaBeSe: optimized geometry, GGA-PBEsol.

## Properties
- Space-group type: F-43m, No. 216
- Crystal system: cubic

CIF file:
```
data_LaBeSe
_chemical_formula_sum 'La1 Be1 Se1'
_cell_length_a 4.826
_cell_length_b 4.826
_cell_length_c 4.826
_cell_angle_alpha 60.00
_cell_angle_beta 60.00
_cell_angle_gamma 60.00
_space_group_name_H-M_alt 'P 1'
_space_group_IT_number 1
loop_
_space_group_symop_operation_xyz
'x,y,z'
loop_
_atom_site_label
_atom_site_type_symbol
_atom_site_fract_x
_atom_site_fract_y
_atom_site_fract_z
La1 La 0.000 0.000 0.000
Be1 Be 0.750 0.750 0.750
Se1 Se 0.250 0.250 0.250
```



(two)
LaBeSe: optimized geometry, GGA-PBEsol.

## Properties
- Space-group type: F-43m, No. 216
- Crystal system: cubic

CIF file:
```
data_LaBeSe
_chemical_formula_sum 'La1 Be1 Se1'
_cell_length_a 4.503
_cell_length_b 4.503
_cell_length_c 4.503
_cell_angle_alpha 60.00
_cell_angle_beta 60.00
_cell_angle_gamma 60.00
_space_group_name_H-M_alt 'P 1'
_space_group_IT_number 1
loop_
_space_group_symop_operation_xyz
'x,y,z'
loop_
_atom_site_label
_atom_site_type_symbol
_atom_site_fract_x
_atom_site_fract_y
_atom_site_fract_z
La1 La 0.000 0.000 0.000
Be1 Be 0.750 0.750 0.750
Se1 Se 0.500 0.500 0.500
```



The structure with the most favorable energy is (two); the runner-up is 156 meV/atom above it.



(one)
SrLaBe2: optimized geometry, GGA-PBEsol.

## Properties
- Space-group type: P4mm, No. 99
- Crystal system: tetragonal

CIF file:
```
data_SrLaBe2
_chemical_formula_sum 'Sr1 La1 Be2'
_cell_length_a 3.156
_cell_length_b 3.156
_cell_length_c 8.882
_cell_angle_alpha 90.00
_cell_angle_beta 90.00
_cell_angle_gamma 90.00
_space_group_name_H-M_alt 'P 1'
_space_group_IT_number 1
loop_
_space_group_symop_operation_xyz
'x,y,z'
loop_
_atom_site_label
_atom_site_type_symbol
_atom_site_fract_x
_atom_site_fract_y
_atom_site_fract_z
Sr1 Sr 0.000 0.000 0.000
La1 La 0.500 0.500 0.604
Be1 Be 0.000 0.000 0.353
Be2 Be 0.500 0.500 0.262
```



(two)
SrLaBe2: optimized geometry, GGA-PBEsol.

## Properties
- Space-group type: Fm-3m, No. 225
- Crystal system: cubic

CIF file:
```
data_SrLaBe2
_chemical_formula_sum 'Sr1 La1 Be2'
_cell_length_a 5.125
_cell_length_b 5.125
_cell_length_c 5.125
_cell_angle_alpha 60.00
_cell_angle_beta 60.00
_cell_angle_gamma 60.00
_space_group_name_H-M_alt 'P 1'
_space_group_IT_number 1
loop_
_space_group_symop_operation_xyz
'x,y,z'
loop_
_atom_site_label
_atom_site_type_symbol
_atom_site_fract_x
_atom_site_fract_y
_atom_site_fract_z
Sr1 Sr 0.000 0.000 0.000
La1 La 0.500 0.500 0.500
Be1 Be 0.250 0.250 0.250
Be2 Be 0.750 0.750 0.750
```



The structure with the most favorable energy is (two); the runner-up is 70 meV/atom above it.



(one)
LaBeTe: optimized geometry, GGA-PBEsol.

## Properties
- Space-group type: F-43m, No. 216
- Crystal system: cubic

CIF file:
```
data_LaBeTe
_chemical_formula_sum 'La1 Be1 Te1'
_cell_length_a 5.057
_cell_length_b 5.057
_cell_length_c 5.057
_cell_angle_alpha 60.00
_cell_angle_beta 60.00
_cell_angle_gamma 60.00
_space_group_name_H-M_alt 'P 1'
_space_group_IT_number 1
loop_
_space_group_symop_operation_xyz
'x,y,z'
loop_
_atom_site_label
_atom_site_type_symbol
_atom_site_fract_x
_atom_site_fract_y
_atom_site_fract_z
La1 La 0.000 0.000 0.000
Be1 Be 0.750 0.750 0.750
Te1 Te 0.250 0.250 0.250
```



(two)
LaBeTe: optimized geometry, GGA-PBEsol.

## Properties
- Space-group type: I4mm, No. 107
- Crystal system: tetragonal

CIF file:
```
data_LaBeTe
_chemical_formula_sum 'La1 Be1 Te1'
_cell_length_a 5.902
_cell_length_b 5.902
_cell_length_c 5.902
_cell_angle_alpha 144.40
_cell_angle_beta 144.40
_cell_angle_gamma 51.24
_space_group_name_H-M_alt 'P 1'
_space_group_IT_number 1
loop_
_space_group_symop_operation_xyz
'x,y,z'
loop_
_atom_site_label
_atom_site_type_symbol
_atom_site_fract_x
_atom_site_fract_y
_atom_site_fract_z
La1 La 0.000 0.000 0.000
Be1 Be 0.698 0.698 0.000
Te1 Te 0.296 0.296 0.000
```



The structure with the most favorable energy is (two); the runner-up is 369 meV/atom above it.



(one)
La2BeZn: optimized geometry, GGA-PBEsol.

## Properties
- Space-group type: R-3m, No. 166
- Crystal system: trigonal

CIF file:
```
data_La2BeZn
_chemical_formula_sum 'La2 Be1 Zn1'
_cell_length_a 9.180
_cell_length_b 9.180
_cell_length_c 9.180
_cell_angle_alpha 22.83
_cell_angle_beta 22.83
_cell_angle_gamma 22.83
_space_group_name_H-M_alt 'P 1'
_space_group_IT_number 1
loop_
_space_group_symop_operation_xyz
'x,y,z'
loop_
_atom_site_label
_atom_site_type_symbol
_atom_site_fract_x
_atom_site_fract_y
_atom_site_fract_z
La1 La 0.245 0.245 0.245
La2 La 0.755 0.755 0.755
Be1 Be 0.500 0.500 0.500
Zn1 Zn 0.000 0.000 0.000
```



(two)
La2BeZn: optimized geometry, GGA-PBEsol.

## Properties
- Space-group type: Pmm2, No. 25
- Crystal system: orthorhombic

CIF file:
```
data_La2BeZn
_chemical_formula_sum 'La2 Be1 Zn1'
_cell_length_a 3.597
_cell_length_b 4.777
_cell_length_c 5.275
_cell_angle_alpha 90.00
_cell_angle_beta 90.00
_cell_angle_gamma 90.00
_space_group_name_H-M_alt 'P 1'
_space_group_IT_number 1
loop_
_space_group_symop_operation_xyz
'x,y,z'
loop_
_atom_site_label
_atom_site_type_symbol
_atom_site_fract_x
_atom_site_fract_y
_atom_site_fract_z
La1 La 0.000 0.000 0.000
La2 La 0.000 0.500 0.386
Be1 Be 0.500 0.000 0.534
Zn1 Zn 0.500 0.500 0.849
```



The structure with the most favorable energy is (two); the runner-up is 297 meV/atom above it.